PBE-GGA MnTlCu2Cl8, optimized geometry; total moment = 4.08 μB per formula unit; mass density = 3.4 g/cm³; space-group type = No. 2; energy relative to the elements, uncorrected = -0.7314 eV/atom
1.0
-4.895 -3.130 -1.715
4.208 -3.107 -4.443
3.468 -7.872 2.440
Cl Cu Tl Mn
8 2 1 1
Cartesian
2.719 -9.153 0.650
-2.913 -4.174 -1.868
0.331 -6.026 -1.035
3.473 -4.758 -2.956
0.062 -4.955 -4.368
5.694 -9.935 -1.850
-0.692 -9.350 -0.762
2.450 -8.083 -2.683
1.491 -6.092 -3.071
1.289 -8.016 -0.647
1.734 -3.936 1.220
0.000 0.000 0.000